1.
This record from the Alexandria database describes a relaxed structure of Sm3HCSe. The functional is GGA-PBE.

Output
Theoretical density (Mg/m³): 7.249
Calculated volume (Å³ per cell): 248.80
Total energy (eV/cell): -70.8
SG: No. 11
Total moment (μB/f.u.): 0.0

Cell: 3.804 8.116 8.280 Å, 103.27 90.00 90.00°
Fractional positions:
Sm 0.250 0.774 0.469
H 0.750 0.922 0.422
H 0.250 0.078 0.578
Se 0.750 0.826 0.773
C 0.750 0.332 0.842
Se 0.250 0.174 0.227
Sm 0.750 0.449 0.162
C 0.250 0.668 0.158
Sm 0.250 0.551 0.838
Sm 0.750 0.870 0.138
Sm 0.750 0.226 0.531
Sm 0.250 0.130 0.862



2.
This record from the Alexandria database describes a relaxed structure of Zn2TeAs. The functional is GGA-PBE.

Output
Theoretical density (Mg/m³): 5.880
Calculated volume (Å³ per cell): 94.14
Total energy (eV/cell): -10.3
SG: No. 25
Formation energy (no corrections) (eV/atom): -0.002
Energy relative to the lowest polymorph listed for this composition (eV/atom): 0.176
Total moment (μB/f.u.): 0.0

Cell: 3.377 3.944 7.069 Å, 90.00 90.00 90.00°
Fractional positions:
Te 0.500 0.500 0.841
Zn 0.000 0.000 0.009
Zn 0.500 0.500 0.289
As 0.000 0.000 0.361



3.
This record from the Alexandria database describes a relaxed structure of Ac3Pd2Pb3. The functional is GGA-PBE.

Output
Theoretical density (Mg/m³): 10.443
Calculated volume (Å³ per cell): 963.84
Formation energy (meV per atom): -629.5
Total energy (eV/cell): -155.5
SG: No. 62
Energy relative to the lowest polymorph listed for this composition (eV/atom): 0.015
Total moment (μB/f.u.): 0.0

Cell: 6.348 8.984 16.901 Å, 90.00 90.00 90.00°
Fractional positions:
Ac 0.876 0.535 0.609
Ac 0.124 0.465 0.109
Pb 0.387 0.692 0.964
Ac 0.624 0.035 0.609
Pb 0.123 0.179 0.250
Pb 0.623 0.321 0.750
Pd 0.372 0.412 0.613
Pd 0.128 0.912 0.613
Pb 0.887 0.808 0.036
Pb 0.613 0.308 0.036
Pd 0.372 0.412 0.887
Ac 0.376 0.965 0.109
Pb 0.613 0.308 0.464
Pb 0.113 0.192 0.964
Ac 0.376 0.965 0.391
Pb 0.877 0.821 0.750
Pd 0.872 0.088 0.387
Pb 0.377 0.679 0.250
Ac 0.876 0.535 0.891
Ac 0.634 0.329 0.250
Pd 0.628 0.588 0.387
Pb 0.113 0.192 0.536
Pd 0.628 0.588 0.113
Pb 0.387 0.692 0.536
Ac 0.366 0.671 0.750
Pd 0.872 0.088 0.113
Ac 0.134 0.171 0.750
Ac 0.866 0.829 0.250
Ac 0.124 0.465 0.391
Pb 0.887 0.808 0.464
Ac 0.624 0.035 0.891
Pd 0.128 0.912 0.887



4.
This record from the Alexandria database describes a relaxed structure of ReAgPt. The functional is GGA-PBE.

Output
Theoretical density (Mg/m³): 17.124
Calculated volume (Å³ per cell): 47.44
Formation energy (meV per atom): 404.1
Total energy (eV/cell): -20.1
SG: No. 44
Energy relative to the lowest polymorph listed for this composition (eV/atom): 0.451
Total moment (μB/f.u.): 0.0

Cell: 4.908 4.908 4.908 Å, 147.57 130.97 60.02°
Fractional positions:
Pt 0.324 0.324 0.000
Ag 0.001 0.001 0.000
Re 0.675 0.675 0.000



5.
This record from the Alexandria database describes a relaxed structure of CaY2Ge2. The functional is GGA-PBE.

Output
Theoretical density (Mg/m³): 4.723
Calculated volume (Å³ per cell): 255.35
Formation energy (meV per atom): -675.8
Total energy (eV/cell): -55.1
SG: No. 127
Energy relative to the lowest polymorph listed for this composition (eV/atom): 0.000
Total moment (μB/f.u.): 0.0

Cell: 8.206 8.206 3.792 Å, 90.00 90.00 90.00°
Fractional positions:
Y 0.144 0.644 0.500
Ge 0.160 0.340 0.000
Ca 0.000 0.000 0.000
Ge 0.840 0.660 0.000
Y 0.356 0.144 0.500
Y 0.644 0.856 0.500
Ge 0.340 0.840 0.000
Ca 0.500 0.500 0.000
Ge 0.660 0.160 0.000
Y 0.856 0.356 0.500



6.
This record from the Alexandria database describes a relaxed structure of Rb2AlWC. The functional is GGA-PBE.

Output
Theoretical density (Mg/m³): 2.835
Calculated volume (Å³ per cell): 230.63
Formation energy (meV per atom): 2368.4
Total energy (eV/cell): -16.0
SG: No. 123
Total moment (μB/f.u.): 6.2

Cell: 6.795 4.995 6.795 Å, 90.00 90.00 90.00°
Fractional positions:
Rb 0.000 0.000 0.500
C 0.500 0.500 0.500
W 0.000 0.000 0.000
Rb 0.500 0.000 0.000
Al 0.000 0.500 0.000



7.
This record from the Alexandria database describes a relaxed structure of Cr3SiNi. The functional is GGA-PBE.

Output
Theoretical density (Mg/m³): 5.186
Calculated volume (Å³ per cell): 77.73
Total energy (eV/cell): -34.2
SG: No. 221
Formation energy (no corrections) (eV/atom): 1.184
Total moment (μB/f.u.): 5.6

Cell: 4.268 4.268 4.268 Å, 90.00 90.00 90.00°
Fractional positions:
Cr 0.500 0.000 0.000
Cr 0.000 0.000 0.500
Ni 0.500 0.500 0.500
Si 0.000 0.000 0.000
Cr 0.000 0.500 0.000



8.
This record from the Alexandria database describes a relaxed structure of TiZn3Ir. The functional is GGA-PBE.

Output
Theoretical density (Mg/m³): 9.384
Calculated volume (Å³ per cell): 154.41
Formation energy (meV per atom): -311.7
Total energy (eV/cell): -44.3
SG: No. 11
Energy relative to the lowest polymorph listed for this composition (eV/atom): 0.000
Total moment (μB/f.u.): 0.0

Cell: 6.601 5.007 4.704 Å, 90.00 96.67 90.00°
Fractional positions:
Ti 0.624 0.750 0.375
Zn 0.925 0.250 0.415
Zn 0.075 0.750 0.585
Zn 0.193 0.998 0.122
Zn 0.807 0.498 0.878
Zn 0.807 0.002 0.878
Zn 0.193 0.502 0.122
Ti 0.376 0.250 0.625
Ir 0.455 0.750 0.823
Ir 0.545 0.250 0.177



9.
This record from the Alexandria database describes a relaxed structure of BeWSe2. The functional is GGA-PBE.

Output
Theoretical density (Mg/m³): 8.736
Calculated volume (Å³ per cell): 66.68
Total energy (eV/cell): -20.9
SG: No. 10
Formation energy (no corrections) (eV/atom): 0.696
Total moment (μB/f.u.): 0.0

Cell: 4.578 2.774 5.397 Å, 103.37 90.00 90.00°
Fractional positions:
Be 0.500 0.750 0.750
Se 0.000 0.067 0.998
Se 0.000 0.433 0.502
W 0.500 0.250 0.250



10.
This record from the Alexandria database describes a relaxed structure of IrPtN3. The functional is GGA-PBE.

Output
Theoretical density (Mg/m³): 12.339
Calculated volume (Å³ per cell): 57.78
Total energy (eV/cell): -30.8
SG: No. 221
Formation energy (no corrections) (eV/atom): 1.816
Total moment (μB/f.u.): 0.6

Cell: 3.866 3.866 3.866 Å, 90.00 90.00 90.00°
Fractional positions:
N 0.500 0.000 0.000
Pt 0.500 0.500 0.500
N 0.000 0.000 0.500
N 0.000 0.500 0.000
Ir 0.000 0.000 0.000



11.
This record from the Alexandria database describes a relaxed structure of Na3Ac3NpSe8. The functional is GGA-PBE.

Output
Theoretical density (Mg/m³): 5.545
Calculated volume (Å³ per cell): 484.70
Total energy (eV/cell): -80.9
SG: No. 12
Formation energy (no corrections) (eV/atom): -1.587
Total moment (μB/f.u.): 3.0

Cell: 8.950 8.951 8.692 Å, 121.02 90.00 120.00°
Fractional positions:
Se 0.230 0.461 0.728
Se 0.230 0.999 0.728
Na 0.500 0.500 0.000
Se 0.770 0.539 0.272
Na 0.000 0.500 0.000
Se 0.231 0.001 0.272
Na 0.000 0.000 0.000
Se 0.770 0.001 0.272
Np 0.000 0.000 0.500
Ac 0.500 0.500 0.500
Se 0.749 0.498 0.745
Ac 0.000 0.500 0.500
Se 0.769 0.999 0.728
Se 0.251 0.502 0.255
Ac 0.500 0.000 0.500



Q: What is the formula in the tenth record?
A: IrPtN3